1.
VASP calculation (PBE-GGA) on a relaxed PuFeC2 crystal.

Cell lengths 3.2508, 3.2508, 5.2086 Å; angles 71.82, 71.82, 60.00 degrees
Closest atoms and distances in Å follow each position.
Fractional coordinates of all 4 atoms:
1 Fe 0.0000 0.0000 0.0000  6 C 2.10
2 C 0.2680 0.2680 0.1961  3 Fe 2.10
3 C 0.7320 0.7320 0.8039  3 Fe 2.10
4 Pu 0.5000 0.5000 0.5000  6 C 2.39

Fermi-level density of states: 1.76 states/eV per atom
Size of the total moment: 0.499 μB/atom
Space-group type: No. 166
VASP energy: -10.039 eV per atom



2.
VASP calculation (PBE-GGA) on a relaxed PuFe4C2 crystal.

Cell lengths 3.0842, 6.9513, 6.9513 Å; angles 90.00, 90.00, 90.00 degrees
Closest atoms and distances in Å follow each position.
Fractional coordinates of all 14 atoms:
1 Pu 0.5000 0.0000 0.0000  6 C 2.62-2.80, 8 Fe 2.83
2 Pu 0.0000 0.5000 0.5000  6 C 2.62-2.80, 8 Fe 2.83
3 Fe 0.5000 0.4122 0.8295  3 C 2.08-2.25
4 Fe 0.0000 0.3295 0.0878  3 C 2.08-2.25
5 Fe 0.5000 0.1705 0.5878  3 C 2.08-2.25
6 Fe 0.5000 0.5878 0.1705  3 C 2.08-2.25
7 Fe 0.0000 0.0878 0.3295  3 C 2.08-2.25
8 Fe 0.0000 0.6705 0.9122  3 C 2.08-2.25
9 Fe 0.5000 0.8295 0.4122  3 C 2.08-2.25
10 Fe 0.0000 0.9122 0.6705  3 C 2.08-2.25
11 C 0.5000 0.7153 0.7153  6 Fe 2.08-2.25
12 C 0.5000 0.2847 0.2847  6 Fe 2.08-2.25
13 C 0.0000 0.7847 0.2153  6 Fe 2.08-2.25
14 C 0.0000 0.2153 0.7847  6 Fe 2.08-2.25

Fermi-level density of states: 1.67 states/eV per atom
Size of the total moment: 1.403 μB/atom
Space-group type: No. 136
VASP energy: -9.363 eV per atom



3.
VASP calculation (PBE-GGA) on a relaxed Pu3FeC3 crystal.

Cell lengths 5.1566, 6.2484, 6.4582 Å; angles 98.88, 90.00, 90.00 degrees
Closest atoms and distances in Å follow each position.
Fractional coordinates of all 14 atoms:
1 Fe 0.7500 0.6942 0.3018  3 C 1.83-1.84
2 Fe 0.2500 0.3058 0.6982  3 C 1.83-1.84
3 C 0.7500 0.8290 0.5746  1 Fe 1.83
4 C 0.2500 0.5858 0.8396  1 Fe 1.84
5 C 0.7500 0.4142 0.1604  1 Fe 1.84
6 C 0.2500 0.1710 0.4254  1 Fe 1.83
7 C 0.2500 0.1137 0.8867  1 Fe 1.84
8 C 0.7500 0.8863 0.1133  1 Fe 1.84
9 Pu 0.2500 0.8177 0.5791  5 C 2.38-2.58
10 Pu 0.7500 0.1823 0.4209  5 C 2.38-2.58
11 Pu 0.7500 0.5699 0.8299  5 C 2.48-2.58
12 Pu 0.7500 0.1282 0.8732  5 C 2.33-2.58
13 Pu 0.2500 0.8718 0.1268  5 C 2.33-2.58
14 Pu 0.2500 0.4301 0.1701  5 C 2.48-2.58

Fermi-level density of states: 2.98 states/eV per atom
Size of the total moment: 0.722 μB/atom
Space-group type: No. 11
VASP energy: -11.312 eV per atom



4.
VASP calculation (PBE-GGA) on a relaxed Pu2FeC2 crystal.

Cell lengths 5.0403, 5.8796, 6.3646 Å; angles 117.91, 90.00, 115.38 degrees
Closest atoms and distances in Å follow each position.
Fractional coordinates of all 10 atoms:
1 C 0.1737 0.3475 0.5880  1 Fe 1.92
2 C 0.4922 0.9845 0.2259  2 Fe 1.90-1.92
3 C 0.5078 0.0155 0.7741  2 Fe 1.90-1.92
4 C 0.8263 0.6525 0.4120  1 Fe 1.92
5 Pu 0.3071 0.6141 0.3601  5 C 2.38-2.54
6 Pu 0.0430 0.0860 0.7995  4 C 2.35-2.54
7 Pu 0.6929 0.3859 0.6399  5 C 2.38-2.54
8 Pu 0.9570 0.9140 0.2005  4 C 2.35-2.54
9 Fe 0.6322 0.2645 0.1254  3 C 1.90-1.92
10 Fe 0.3678 0.7355 0.8746  3 C 1.90-1.92

Fermi-level density of states: 2.68 states/eV per atom
Size of the total moment: 1.645 μB/atom
Space-group type: No. 12
VASP energy: -11.166 eV per atom



| no. | formation enthalpy at 0 K (eV/atom) |
| --- | --- |
| 1 | 0.272 |
| 2 | 0.156 |
| 3 | -0.008 |
| 4 | -0.051 |